VASP calculation (PBE) on an optimized crystal structure of Pr6ScPb.

Calculated values
**DFT formation energy**: -0.138 eV/atom
**Spin magnetization**: 0.00 μB/f.u.
**DOS(E_F)**: 7.99 states/eV/cell

a = 5.0509 Å, b = 5.0509 Å, c = 10.2544 Å
α = 90.00°, β = 90.00°, γ = 90.00°
With the nearest neighbours (Å) after each atom.
Space group P4/mmm (No. 123)
Symmetry-distinct sites (fractional):
Pr 0.0000 0.0000 0.0000 (multiplicity 1)  4 Pb 3.57, 8 Pr 3.59
Pr 0.0000 0.0000 0.5000 (multiplicity 1)  4 Sc 3.57, 8 Pr 3.60
Pr 0.0000 0.5000 0.2494 (multiplicity 4)  8 Pr 3.57-3.60, 2 Pb 3.59, 2 Sc 3.60
Sc 0.5000 0.5000 0.5000 (multiplicity 1)  12 Pr 3.57-3.60
Pb 0.5000 0.5000 0.0000 (multiplicity 1)  12 Pr 3.57-3.59

VASP calculation (PBE) on an optimized crystal structure of PrScPb2.

Calculated values
**DFT formation energy**: -0.302 eV/atom
**Spin magnetization**: 0.00 μB/f.u.
**DOS(E_F)**: 11.33 states/eV/cell

a = 4.6697 Å, b = 4.6697 Å, c = 20.4665 Å
α = 90.00°, β = 90.00°, γ = 120.00°
With the nearest neighbours (Å) after each atom.
Space group R3m (No. 160, hexagonal axes)
Symmetry-distinct sites (fractional):
Pr 0.0000 0.0000 0.0000 (multiplicity 3)  6 Pb 3.24-3.32, 1 Sc 3.61
Sc 0.0000 0.0000 0.1764 (multiplicity 3)  6 Pb 3.04-3.17
Pb 0.0000 0.0000 0.4281 (multiplicity 3)  1 Pb 3.08, 3 Sc 3.17, 3 Pr 3.32
Pb 0.0000 0.0000 0.5788 (multiplicity 3)  3 Sc 3.04, 1 Pb 3.08, 3 Pr 3.24

VASP calculation (PBE) on an optimized crystal structure of Pr2Sc3Pb4.

Calculated values
**DFT formation energy**: -0.474 eV/atom
**Spin magnetization**: 0.00 μB/f.u.
**DOS(E_F)**: 23.92 states/eV/cell

a = 6.8136 Å, b = 16.9987 Å, c = 8.7704 Å
α = 90.00°, β = 90.00°, γ = 90.00°
With the nearest neighbours (Å) after each atom.
Space group Cmce (No. 64)
Symmetry-distinct sites (fractional):
Pr 0.0000 0.1136 0.0871 (multiplicity 8)  8 Pb 3.39-3.65, 4 Sc 3.74-3.78
Sc 0.0000 0.0000 0.5000 (multiplicity 4)  4 Pb 2.85
Sc 0.2500 0.2095 0.7500 (multiplicity 8)  5 Pb 2.93-3.17
Pb 0.0000 0.1866 0.4482 (multiplicity 8)  5 Sc 3.01-3.20
Pb 0.2500 0.0370 0.7500 (multiplicity 8)  3 Sc 2.85-2.93

VASP calculation (PBE) on an optimized crystal structure of Pr3ScPb2.

Calculated values
**DFT formation energy**: -0.424 eV/atom
**Spin magnetization**: 0.00 μB/f.u.
**DOS(E_F)**: 8.58 states/eV/cell

a = 4.6637 Å, b = 4.6637 Å, c = 8.7549 Å
α = 90.00°, β = 90.00°, γ = 90.00°
With the nearest neighbours (Å) after each atom.
Space group P-4m2 (No. 115)
Symmetry-distinct sites (fractional):
Pr 0.0000 0.0000 0.0000 (multiplicity 1)  4 Sc 3.30, 4 Pb 3.35
Pr 0.0000 0.5000 0.6551 (multiplicity 2)  5 Pb 3.33-3.36
Sc 0.5000 0.5000 0.0000 (multiplicity 1)  4 Pr 3.30, 4 Pb 3.35
Pb 0.0000 0.5000 0.2742 (multiplicity 2)  7 Pr 3.33-3.36, 2 Sc 3.35

VASP calculation (PBE) on an optimized crystal structure of Pr2ScPb.

Calculated values
**DFT formation energy**: 0.067 eV/atom
**Spin magnetization**: 0.00 μB/f.u.
**DOS(E_F)**: 11.68 states/eV/cell

a = 3.5523 Å, b = 3.5523 Å, c = 36.2032 Å
α = 90.00°, β = 90.00°, γ = 120.00°
With the nearest neighbours (Å) after each atom.
Space group R-3m (No. 166, hexagonal axes)
Symmetry-distinct sites (fractional):
Pr 0.0000 0.0000 0.0911 (multiplicity 6)  1 Pb 3.30, 3 Sc 3.42, 6 Pr 3.55
Sc 0.0000 0.0000 0.5000 (multiplicity 3)  6 Pr 3.42, 6 Sc 3.55
Pb 0.0000 0.0000 0.0000 (multiplicity 3)  2 Pr 3.30, 6 Pb 3.55

VASP calculation (PBE) on an optimized crystal structure of Pr6ScPb10.

Calculated values
**DFT formation energy**: -0.414 eV/atom
**Spin magnetization**: 0.00 μB/f.u.
**DOS(E_F)**: 12.37 states/eV/cell

a = 9.5908 Å, b = 9.5908 Å, c = 6.5656 Å
α = 90.00°, β = 90.00°, γ = 120.00°
With the nearest neighbours (Å) after each atom.
Space group P-31m (No. 162)
Symmetry-distinct sites (fractional):
Pr 0.0000 0.3905 0.2595 (multiplicity 6)  8 Pb 3.30-3.52
Sc 0.0000 0.0000 0.5000 (multiplicity 1)  6 Pb 3.03
Pb 0.0000 0.2437 0.7931 (multiplicity 6)  1 Sc 3.03, 3 Pr 3.30-3.37
Pb 0.3333 0.6667 0.0000 (multiplicity 2)  2 Pb 3.28, 6 Pr 3.42
Pb 0.3333 0.6667 0.5000 (multiplicity 2)  2 Pb 3.28, 6 Pr 3.36

VASP calculation (PBE) on an optimized crystal structure of Pr5ScPb5.

Calculated values
**DFT formation energy**: -0.321 eV/atom
**Spin magnetization**: 0.00 μB/f.u.
**DOS(E_F)**: 17.50 states/eV/cell

a = 16.9423 Å, b = 6.1756 Å, c = 7.3482 Å
α = 90.00°, β = 106.32°, γ = 90.00°
With the nearest neighbours (Å) after each atom.
Space group C2/m (No. 12)
Symmetry-distinct sites (fractional):
Pr 0.0000 0.0000 0.0000 (multiplicity 2)  4 Pb 3.13-3.43
Pr 0.1558 0.5000 0.2711 (multiplicity 4)  5 Pb 3.24-3.54
Pr 0.1813 0.5000 0.7807 (multiplicity 4)  5 Pb 3.18-3.35
Sc 0.0000 0.0000 0.5000 (multiplicity 2)  6 Pb 2.98-3.22
Pb 0.0000 0.5000 0.5000 (multiplicity 2)  2 Sc 3.09, 2 Pr 3.18
Pb 0.1593 0.0000 0.8638 (multiplicity 4)  4 Pr 3.13-3.19, 1 Sc 3.22, 1 Pb 3.36
Pb 0.1605 0.0000 0.4079 (multiplicity 4)  1 Sc 2.98, 3 Pr 3.24-3.33

VASP calculation (PBE) on an optimized crystal structure of Pr3Sc2Pb3.

Calculated values
**DFT formation energy**: -0.501 eV/atom
**Spin magnetization**: 0.00 μB/f.u.
**DOS(E_F)**: 18.98 states/eV/cell

a = 9.1766 Å, b = 9.1766 Å, c = 6.5073 Å
α = 90.00°, β = 90.00°, γ = 120.00°
With the nearest neighbours (Å) after each atom.
Space group P6_3/mcm (No. 193)
Symmetry-distinct sites (fractional):
Pr 0.0000 0.2423 0.2500 (multiplicity 6)  5 Pb 3.22-3.57
Sc 0.3333 0.6667 0.0000 (multiplicity 4)  6 Pb 3.24, 2 Sc 3.25
Pb 0.0000 0.4022 0.7500 (multiplicity 6)  5 Pr 3.22-3.57, 4 Sc 3.24

VASP calculation (PBE) on an optimized crystal structure of Pr2ScPb.

Calculated values
**DFT formation energy**: -0.289 eV/atom
**Spin magnetization**: 0.00 μB/f.u.
**DOS(E_F)**: 4.07 states/eV/cell

a = 4.8817 Å, b = 4.8817 Å, c = 4.9148 Å
α = 90.00°, β = 90.00°, γ = 90.00°
With the nearest neighbours (Å) after each atom.
Space group P4/mmm (No. 123)
Symmetry-distinct sites (fractional):
Pr 0.0000 0.5000 0.0000 (multiplicity 2)  4 Pr 3.45, 4 Pb 3.46, 4 Sc 3.46
Sc 0.0000 0.0000 0.5000 (multiplicity 1)  4 Pb 3.45, 8 Pr 3.46
Pb 0.5000 0.5000 0.5000 (multiplicity 1)  4 Sc 3.45, 8 Pr 3.46

VASP calculation (PBE) on an optimized crystal structure of Pr3ScPb2.

Calculated values
**DFT formation energy**: -0.426 eV/atom
**Spin magnetization**: 0.00 μB/f.u.
**DOS(E_F)**: 39.21 states/eV/cell

a = 6.6130 Å, b = 17.4607 Å, c = 6.5592 Å
α = 90.00°, β = 90.00°, γ = 90.00°
With the nearest neighbours (Å) after each atom.
Space group Ibam (No. 72)
Symmetry-distinct sites (fractional):
Pr 0.0000 0.0000 0.2500 (multiplicity 4)  2 Pr 3.28, 2 Sc 3.31, 4 Pb 3.37
Pr 0.2432 0.1738 0.0000 (multiplicity 8)  5 Pb 3.31-3.44
Sc 0.0000 0.5000 0.2500 (multiplicity 4)  4 Pb 3.26, 2 Sc 3.28, 2 Pr 3.31
Pb 0.2331 0.3650 0.0000 (multiplicity 8)  2 Sc 3.26, 7 Pr 3.31-3.44

VASP calculation (PBE) on an optimized crystal structure of Pr14ScPb.

Calculated values
**DFT formation energy**: -0.054 eV/atom
**Spin magnetization**: 0.00 μB/f.u.
**DOS(E_F)**: 21.48 states/eV/cell

a = 7.2759 Å, b = 7.2759 Å, c = 10.4098 Å
α = 90.00°, β = 90.00°, γ = 90.00°
With the nearest neighbours (Å) after each atom.
Space group P4/mmm (No. 123)
Symmetry-distinct sites (fractional):
Pr 0.0000 0.0000 0.0000 (multiplicity 1)  12 Pr 3.64-3.71
Pr 0.0000 0.5000 0.0000 (multiplicity 2)  12 Pr 3.64-3.72
Pr 0.0000 0.5000 0.5000 (multiplicity 2)  8 Pr 3.60, 2 Pb 3.64, 2 Sc 3.64
Pr 0.2496 0.2496 0.2577 (multiplicity 8)  1 Sc 3.60, 10 Pr 3.60-3.72, 1 Pb 3.61
Pr 0.5000 0.5000 0.0000 (multiplicity 1)  12 Pr 3.64-3.72
Sc 0.0000 0.0000 0.5000 (multiplicity 1)  12 Pr 3.60-3.64
Pb 0.5000 0.5000 0.5000 (multiplicity 1)  12 Pr 3.61-3.64

VASP calculation (PBE) on an optimized crystal structure of PrSc3Pb2.

Calculated values
**DFT formation energy**: -0.312 eV/atom
**Spin magnetization**: 0.63 μB/f.u.
**DOS(E_F)**: 24.99 states/eV/cell

a = 18.2782 Å, b = 4.5919 Å, c = 9.2536 Å
α = 90.00°, β = 119.68°, γ = 90.00°
With the nearest neighbours (Å) after each atom.
Space group C2/m (No. 12)
Symmetry-distinct sites (fractional):
Pr 0.1311 0.0000 0.1781 (multiplicity 4)  6 Pb 3.33-3.50
Sc 0.0539 0.0000 0.7045 (multiplicity 4)  3 Pb 2.96-3.06, 5 Sc 3.23-3.29
Sc 0.0942 0.5000 0.5068 (multiplicity 4)  3 Pb 2.96-3.07, 3 Sc 3.24
Sc 0.1905 0.5000 0.9093 (multiplicity 4)  4 Pb 2.98-3.26, 5 Sc 3.03-3.24
Pb 0.0166 0.5000 0.8588 (multiplicity 4)  4 Sc 2.96-2.98, 1 Pb 2.96
Pb 0.2175 0.0000 0.6893 (multiplicity 4)  6 Sc 3.06-3.26, 2 Pr 3.33